This record from Alexandria via LeMat-Bulk describes crystalline Mg2TcNi at its relaxed geometry. The functional is PBE-GGA.

Unit cell a=4.8940 b=4.8940 c=4.8940 alpha=133.39 beta=133.39 gamma=68.04
With the nearest neighbours (Å) after each atom.
Atoms (fractional coordinates):
Tc: 0.7500 0.2500 0.5000  4 Ni 2.74, 8 Mg 2.80
Mg: 0.0000 0.0000 0.0000  4 Mg 2.74, 4 Tc 2.80, 4 Ni 2.80
Mg: 0.5000 0.5000 0.0000  4 Mg 2.74, 4 Ni 2.80, 4 Tc 2.80
Ni: 0.2500 0.7500 0.5000  4 Tc 2.74, 8 Mg 2.80

DFT formation energy   96 kJ/mol of formula units
N(E_F)   1.106 states/eV/atom
Polymorph energy (0 for the lowest one)   184.0 meV per atom
VASP energy   -18.337 eV/cell

---

This record from Alexandria via LeMat-Bulk describes crystalline Bi2HRu at its relaxed geometry. The functional is PBE-GGA.

Unit cell a=4.7153 b=4.7153 c=4.7153 alpha=60.00 beta=60.00 gamma=60.00
With the nearest neighbours (Å) after each atom.
Atoms (fractional coordinates):
Bi: 0.7500 0.7500 0.7500  4 Ru 2.89, 4 H 2.89
Bi: 0.2500 0.2500 0.2500  4 Ru 2.89, 4 H 2.89
H: 0.0000 0.0000 0.0000  8 Bi 2.89
Ru: 0.5000 0.5000 0.5000  8 Bi 2.89

N(E_F)   0.745 states/eV/atom
Polymorph energy (0 for the lowest one)   0.0 meV per atom
VASP energy   -18.178 eV/cell

---

This record from Alexandria via LeMat-Bulk describes crystalline Al2Tl14Te9 at its relaxed geometry. The functional is PBE-GGA.

Unit cell a=9.6730 b=9.6730 c=11.4089 alpha=90.00 beta=90.00 gamma=120.00
With the nearest neighbours (Å) after each atom.
Atoms (fractional coordinates):
Tl: 0.6543 0.9767 0.9006  4 Te 3.40-3.58, 1 Tl 3.79
Tl: 0.6777 0.6543 0.0994  4 Te 3.40-3.58, 1 Tl 3.79
Tl: 0.6770 0.1113 0.3434  3 Te 3.21-3.47
Tl: 0.8887 0.5657 0.3434  3 Te 3.21-3.47
Tl: 0.0233 0.6777 0.9006  4 Te 3.40-3.58, 1 Tl 3.79
Tl: 0.9767 0.3223 0.0994  4 Te 3.40-3.58, 1 Tl 3.79
Tl: 0.3457 0.0233 0.0994  4 Te 3.40-3.58, 1 Tl 3.79
Tl: 0.3230 0.8887 0.6566  3 Te 3.21-3.47
Tl: 0.5657 0.6770 0.6566  3 Te 3.21-3.47
Tl: 0.3223 0.3457 0.9006  4 Te 3.40-3.58, 1 Tl 3.79
Tl: 0.0000 0.0000 0.2912  4 Te 3.32-3.44
Tl: 0.1113 0.4343 0.6566  3 Te 3.21-3.47
Tl: 0.0000 0.0000 0.7088  4 Te 3.32-3.44
Tl: 0.4343 0.3230 0.3434  3 Te 3.21-3.47
Al: 0.6667 0.3333 0.7020  4 Te 2.65-2.66
Al: 0.3333 0.6667 0.2980  4 Te 2.65-2.66
Te: 0.7333 0.1167 0.6210  1 Al 2.65
Te: 0.6667 0.3333 0.9352  1 Al 2.66
Te: 0.1167 0.3834 0.3790  1 Al 2.65
Te: 0.2667 0.8833 0.3790  1 Al 2.65
Te: 0.3834 0.2667 0.6210  1 Al 2.65
Te: 0.8833 0.6166 0.6210  1 Al 2.65
Te: 0.6166 0.7333 0.3790  1 Al 2.65
Te: 0.0000 0.0000 0.0000  8 Tl 3.32-3.43
Te: 0.3333 0.6667 0.0648  1 Al 2.66

N(E_F)   0.397 states/eV/atom
Energy relative to the elements, uncorrected   -0.269 eV per atom
VASP energy   -75.619 eV/cell